No. 1
DFT (PBE-GGA) results for a relaxed IrIO3 crystal.

Results
M_tot = 2.199 μB/cell
E_form (uncorrected) = 5.4 eV per formula unit

Cell lengths 4.112, 4.112, 4.112 Å; angles 90.00, 90.00, 90.00 degrees
Sites, in units of the cell vectors:
O: 0.000 0.000 0.500
O: 0.000 0.500 0.000
O: 0.500 0.000 0.000
Ir: 0.500 0.500 0.500
I: 0.000 0.000 0.000

---

No. 2
DFT (PBE-GGA) results for a relaxed Bi2RhPb2 crystal.

Results
energy relative to the elements = 2.6 eV/f.u.
E above lowest polymorph = 581 meV/atom
M_tot = 0.000 μB/cell

Cell lengths 4.103, 4.103, 9.368 Å; angles 77.35, 77.35, 90.00 degrees
Sites, in units of the cell vectors:
Pb: 0.250 0.750 0.500
Pb: 0.750 0.250 0.500
Rh: 0.000 0.000 0.000
Bi: 0.584 0.584 0.833
Bi: 0.416 0.416 0.167